The following is a SCAN calculation of a crystal of NaLaTl3 relaxed with PBEsol, from the Alexandria database.

Calculated values
ΔH_f (0 K)   0.310 eV per atom
Total energy   -262.84 eV per cell
Calculated volume   220 Å³/cell
DOS at the Fermi energy   1.542 states/eV per atom

abc: 6.032 6.032 6.032
angles: 90.00 90.00 90.00
Space group Pm-3m (No. 221)
One atom of each set of equivalent atoms:
Na (0.000, 0.000, 0.000) x1
La (0.500, 0.500, 0.500) x1
Tl (0.000, 0.500, 0.500) x3

The following is a SCAN calculation of a crystal of BeAgW2 relaxed with PBEsol, from the Alexandria database.

Calculated values
ΔH_f (0 K)   0.288 eV per atom
Total energy   -347.89 eV per cell
Calculated volume   114 Å³/cell
DOS at the Fermi energy   0.536 states/eV per atom

abc: 3.203 4.271 8.338
angles: 90.00 90.00 90.00
Space group Cmm2 (No. 35)
One atom of each set of equivalent atoms:
Be (0.000, 0.000, 0.000) x2
Ag (0.000, 0.500, 0.779) x2
W (0.000, 0.000, 0.493) x2
W (0.000, 0.500, 0.224) x2

The following is a SCAN calculation of a crystal of CaCrMo2 relaxed with PBEsol, from the Alexandria database.

Calculated values
ΔH_f (0 K)   0.793 eV per atom
Total energy   -94.65 eV per cell
Calculated volume   69 Å³/cell
E above lowest polymorph   168 meV per atom
DOS at the Fermi energy   0.888 states/eV per atom

abc: 3.785 3.785 4.805
angles: 90.00 90.00 90.00
Space group P4/mmm (No. 123)
One atom of each set of equivalent atoms:
Ca (0.000, 0.000, 0.000) x1
Cr (0.500, 0.500, 0.000) x1
Mo (0.000, 0.500, 0.500) x2

The following is a SCAN calculation of a crystal of KAsOs2 relaxed with PBEsol, from the Alexandria database.

Calculated values
ΔH_f (0 K)   1.574 eV per atom
Total energy   -165.98 eV per cell
Calculated volume   68 Å³/cell
DOS at the Fermi energy   0.961 states/eV per atom

abc: 3.860 3.860 4.586
angles: 90.00 90.00 90.00
Space group P4/mmm (No. 123)
One atom of each set of equivalent atoms:
K (0.000, 0.000, 0.000) x1
As (0.500, 0.500, 0.000) x1
Os (0.000, 0.500, 0.500) x2

The following is a SCAN calculation of a crystal of ReSi3C relaxed with PBEsol, from the Alexandria database.

Calculated values
Energy relative to the elements, uncorrected   7.747 eV/f.u.
Total energy   -103.50 eV per cell
Calculated volume   99 Å³/cell
DOS at the Fermi energy   0.038 states/eV per atom

abc: 4.619 4.619 4.619
angles: 90.00 90.00 90.00
Space group Pm-3m (No. 221)
One atom of each set of equivalent atoms:
Re (0.000, 0.000, 0.000) x1
Si (0.000, 0.000, 0.500) x3
C (0.500, 0.500, 0.500) x1

The following is a SCAN calculation of a crystal of Nd6In22Pt13 relaxed with PBEsol, from the Alexandria database.

Calculated values
ΔH_f (0 K)   -0.824 eV per atom
Total energy   -3884.58 eV per cell
Calculated volume   1702 Å³/cell
DOS at the Fermi energy   0.340 states/eV per atom

abc: 28.080 4.410 14.859
angles: 90.00 112.37 90.00
Space group C2/m (No. 12)
One atom of each set of equivalent atoms:
Nd (0.047, 0.000, 0.199) x4
Nd (0.163, 0.500, 0.030) x4
Nd (0.179, 0.500, 0.581) x4
In (0.029, 0.000, 0.679) x4
In (0.042, 0.500, 0.840) x4
In (0.055, 0.500, 0.564) x4
In (0.066, 0.000, 0.003) x4
In (0.092, 0.000, 0.453) x4
In (0.124, 0.500, 0.331) x4
In (0.143, 0.500, 0.782) x4
In (0.174, 0.000, 0.219) x4
In (0.213, 0.000, 0.935) x4
In (0.228, 0.000, 0.746) x4
In (0.238, 0.500, 0.416) x4
Pt (0.000, 0.500, 0.000) x2
Pt (0.033, 0.500, 0.362) x4
Pt (0.099, 0.500, 0.135) x4
Pt (0.107, 0.000, 0.862) x4
Pt (0.119, 0.000, 0.652) x4
Pt (0.180, 0.000, 0.410) x4
Pt (0.249, 0.000, 0.137) x4